# 1
# LaZrSc2, single point on PBEsol structure, DFT SCAN
data_LaZrSc2
_cell_length_a 3.2685
_cell_length_b 3.2685
_cell_length_c 9.5272
_cell_angle_alpha 90.00
_cell_angle_beta 90.00
_cell_angle_gamma 90.00
_space_group_name_H-M_alt 'P 1'
_space_group_IT_number 1
_space_group_name_Hall 'P 1'
loop_
_atom_site_label
_atom_site_type_symbol
_atom_site_fract_x
_atom_site_fract_y
_atom_site_fract_z
Zr1 Zr 0.5000 0.5000 0.0000
La1 La 0.5000 0.5000 0.5000
Sc1 Sc 0.0000 0.0000 0.2219
Sc2 Sc 0.0000 0.0000 0.7781
# - symmetry = No. 123
# - raw total energy (Ry/atom) = -1.87412
# - energy above the lowest structure with this stoichiometry (meV per atom) = 0.0
# - Fermi-level density of states (states/eV/f.u.) = 6.63

# 2
# MgSnGe3, single point on PBEsol structure, DFT SCAN
data_MgSnGe3
_cell_length_a 4.9513
_cell_length_b 4.9513
_cell_length_c 4.9513
_cell_angle_alpha 90.00
_cell_angle_beta 90.00
_cell_angle_gamma 90.00
_space_group_name_H-M_alt 'P 1'
_space_group_IT_number 1
_space_group_name_Hall 'P 1'
loop_
_atom_site_label
_atom_site_type_symbol
_atom_site_fract_x
_atom_site_fract_y
_atom_site_fract_z
Mg1 Mg 0.0000 0.0000 0.0000
Ge1 Ge 0.0000 0.0000 0.5000
Ge2 Ge 0.0000 0.5000 0.0000
Ge3 Ge 0.5000 0.0000 0.0000
Sn1 Sn 0.5000 0.5000 0.5000
# - symmetry = No. 221
# - raw total energy (Ry/atom) = -1.38789
# - Fermi-level density of states (states/eV/f.u.) = 2.55

# 3
# Mg2AlZn2, single point on PBEsol structure, DFT SCAN
data_Mg2AlZn2
_cell_length_a 3.9240
_cell_length_b 3.9240
_cell_length_c 6.7683
_cell_angle_alpha 106.85
_cell_angle_beta 106.85
_cell_angle_gamma 90.00
_space_group_name_H-M_alt 'P 1'
_space_group_IT_number 1
_space_group_name_Hall 'P 1'
loop_
_atom_site_label
_atom_site_type_symbol
_atom_site_fract_x
_atom_site_fract_y
_atom_site_fract_z
Al1 Al 0.0000 0.0000 0.0000
Mg1 Mg 0.2500 0.7500 0.5000
Mg2 Mg 0.7500 0.2500 0.5000
Zn1 Zn 0.5950 0.5950 0.1901
Zn2 Zn 0.4050 0.4050 0.8099
# - symmetry = No. 139
# - raw total energy (Ry/atom) = -0.64328
# - energy above the lowest structure with this stoichiometry (meV per atom) = 290.8
# - Fermi-level density of states (states/eV/f.u.) = 2.07

# 4
# TiPt3, single point on PBEsol structure, DFT SCAN
data_TiPt3
_cell_length_a 5.5143
_cell_length_b 5.5143
_cell_length_c 8.9847
_cell_angle_alpha 90.00
_cell_angle_beta 90.00
_cell_angle_gamma 120.00
_space_group_name_H-M_alt 'P 1'
_space_group_IT_number 1
_space_group_name_Hall 'P 1'
loop_
_atom_site_label
_atom_site_type_symbol
_atom_site_fract_x
_atom_site_fract_y
_atom_site_fract_z
Pt1 Pt 0.5000 0.0000 0.0000
Pt2 Pt 0.8331 0.1669 0.2500
Pt3 Pt 0.3338 0.1669 0.2500
Pt4 Pt 0.5000 0.0000 0.5000
Pt5 Pt 0.8331 0.6662 0.2500
Pt6 Pt 0.5000 0.5000 0.0000
Pt7 Pt 0.6662 0.8331 0.7500
Pt8 Pt 0.1669 0.3338 0.7500
Pt9 Pt 0.0000 0.5000 0.0000
Pt10 Pt 0.1669 0.8331 0.7500
Pt11 Pt 0.0000 0.5000 0.5000
Pt12 Pt 0.5000 0.5000 0.5000
Ti1 Ti 0.6667 0.3333 0.7500
Ti2 Ti 0.3333 0.6667 0.2500
Ti3 Ti 0.0000 0.0000 0.5000
Ti4 Ti 0.0000 0.0000 0.0000
# - symmetry = No. 194
# - raw total energy (Ry/atom) = -4.23640
# - Fermi-level density of states (states/eV/f.u.) = 1.58

# 5
# Tl3Cd, single point on PBEsol structure, DFT SCAN
data_Tl3Cd
_cell_length_a 3.5132
_cell_length_b 3.6304
_cell_length_c 8.3332
_cell_angle_alpha 90.00
_cell_angle_beta 90.00
_cell_angle_gamma 90.00
_space_group_name_H-M_alt 'P 1'
_space_group_IT_number 1
_space_group_name_Hall 'P 1'
loop_
_atom_site_label
_atom_site_type_symbol
_atom_site_fract_x
_atom_site_fract_y
_atom_site_fract_z
Tl1 Tl 0.5000 0.5000 0.7690
Tl2 Tl 0.5000 0.5000 0.2310
Tl3 Tl 0.0000 0.0000 0.5000
Cd1 Cd 0.0000 0.0000 0.0000
# - symmetry = No. 47
# - raw total energy (Ry/atom) = -4.54441
# - Fermi-level density of states (states/eV/f.u.) = 1.94

# 6
# SrYSe3, single point on PBEsol structure, DFT SCAN
data_SrYSe3
_cell_length_a 5.4219
_cell_length_b 5.4219
_cell_length_c 5.4219
_cell_angle_alpha 90.00
_cell_angle_beta 90.00
_cell_angle_gamma 90.00
_space_group_name_H-M_alt 'P 1'
_space_group_IT_number 1
_space_group_name_Hall 'P 1'
loop_
_atom_site_label
_atom_site_type_symbol
_atom_site_fract_x
_atom_site_fract_y
_atom_site_fract_z
Se1 Se 0.5000 0.0000 0.0000
Se2 Se 0.0000 0.5000 0.0000
Se3 Se 0.0000 0.0000 0.5000
Y1 Y 0.5000 0.5000 0.5000
Sr1 Sr 0.0000 0.0000 0.0000
# - symmetry = No. 221
# - raw total energy (Ry/atom) = -1.66353
# - raw formation energy (meV/atom) = -563
# - Fermi-level density of states (states/eV/f.u.) = 5.13

# 7
# Zn2TeIr, single point on PBEsol structure, DFT SCAN
data_Zn2TeIr
_cell_length_a 2.9919
_cell_length_b 3.9819
_cell_length_c 6.2972
_cell_angle_alpha 90.00
_cell_angle_beta 103.75
_cell_angle_gamma 90.00
_space_group_name_H-M_alt 'P 1'
_space_group_IT_number 1
_space_group_name_Hall 'P 1'
loop_
_atom_site_label
_atom_site_type_symbol
_atom_site_fract_x
_atom_site_fract_y
_atom_site_fract_z
Ir1 Ir 0.3885 0.0000 0.4022
Te1 Te 0.5540 0.5000 0.7321
Zn1 Zn 0.8419 0.5000 0.3091
Zn2 Zn 0.7156 0.0000 0.0565
# - symmetry = No. 38
# - raw total energy (Ry/atom) = -2.48854
# - raw formation energy (meV/atom) = -13
# - Fermi-level density of states (states/eV/f.u.) = 1.56

# 8
# MgSc2In, single point on PBEsol structure, DFT SCAN
data_MgSc2In
_cell_length_a 3.2349
_cell_length_b 4.2748
_cell_length_c 6.3621
_cell_angle_alpha 90.00
_cell_angle_beta 90.00
_cell_angle_gamma 90.00
_space_group_name_H-M_alt 'P 1'
_space_group_IT_number 1
_space_group_name_Hall 'P 1'
loop_
_atom_site_label
_atom_site_type_symbol
_atom_site_fract_x
_atom_site_fract_y
_atom_site_fract_z
Sc1 Sc 0.0000 0.0000 0.2444
Sc2 Sc 0.0000 0.0000 0.7556
In1 In 0.5000 0.5000 0.0000
Mg1 Mg 0.5000 0.5000 0.5000
# - symmetry = No. 47
# - raw total energy (Ry/atom) = -1.25389
# - energy above the lowest structure with this stoichiometry (meV per atom) = 44.9
# - Fermi-level density of states (states/eV/f.u.) = 3.06

# 9
# EuMg, single point on PBEsol structure, DFT SCAN
data_EuMg
_cell_length_a 3.9484
_cell_length_b 3.9484
_cell_length_c 3.9484
_cell_angle_alpha 90.00
_cell_angle_beta 90.00
_cell_angle_gamma 90.00
_space_group_name_H-M_alt 'P 1'
_space_group_IT_number 1
_space_group_name_Hall 'P 1'
loop_
_atom_site_label
_atom_site_type_symbol
_atom_site_fract_x
_atom_site_fract_y
_atom_site_fract_z
Mg1 Mg 0.0000 0.0000 0.0000
Eu1 Eu 0.5000 0.5000 0.5000
# - symmetry = No. 221
# - raw total energy (Ry/atom) = -2.16290
# - Fermi-level density of states (states/eV/f.u.) = 3.51

# 10
# PrCu4Pd, single point on PBEsol structure, DFT SCAN
data_PrCu4Pd
_cell_length_a 4.1560
_cell_length_b 5.0793
_cell_length_c 5.0793
_cell_angle_alpha 120.00
_cell_angle_beta 90.00
_cell_angle_gamma 90.00
_space_group_name_H-M_alt 'P 1'
_space_group_IT_number 1
_space_group_name_Hall 'P 1'
loop_
_atom_site_label
_atom_site_type_symbol
_atom_site_fract_x
_atom_site_fract_y
_atom_site_fract_z
Cu1 Cu 0.5000 0.8301 0.6603
Cu2 Cu 0.0000 0.6667 0.3333
Cu3 Cu 0.5000 0.3397 0.1699
Cu4 Cu 0.5000 0.8301 0.1699
Pr1 Pr 0.0000 0.3333 0.6667
Pd1 Pd 0.0000 0.0000 0.0000
# - symmetry = No. 187
# - raw total energy (Ry/atom) = -1.69888
# - Fermi-level density of states (states/eV/f.u.) = 3.07

# 11
# Li2LaTa, single point on PBEsol structure, DFT SCAN
data_Li2LaTa
_cell_length_a 4.8899
_cell_length_b 4.8899
_cell_length_c 4.8899
_cell_angle_alpha 60.00
_cell_angle_beta 60.00
_cell_angle_gamma 60.00
_space_group_name_H-M_alt 'P 1'
_space_group_IT_number 1
_space_group_name_Hall 'P 1'
loop_
_atom_site_label
_atom_site_type_symbol
_atom_site_fract_x
_atom_site_fract_y
_atom_site_fract_z
La1 La 0.5000 0.5000 0.5000
Li1 Li 0.0000 0.0000 0.0000
Li2 Li 0.7500 0.7500 0.7500
Ta1 Ta 0.2500 0.2500 0.2500
# - symmetry = No. 216
# - raw total energy (Ry/atom) = -2.05154
# - energy above the lowest structure with this stoichiometry (meV per atom) = 238.6
# - Fermi-level density of states (states/eV/f.u.) = 2.37

# 12
# Te3Se, single point on PBEsol structure, DFT SCAN
data_Te3Se
_cell_length_a 4.2349
_cell_length_b 4.3328
_cell_length_c 7.5980
_cell_angle_alpha 106.95
_cell_angle_beta 90.00
_cell_angle_gamma 119.26
_space_group_name_H-M_alt 'P 1'
_space_group_IT_number 1
_space_group_name_Hall 'P 1'
loop_
_atom_site_label
_atom_site_type_symbol
_atom_site_fract_x
_atom_site_fract_y
_atom_site_fract_z
Te1 Te 0.7370 0.4740 0.2366
Te2 Te 0.2630 0.5260 0.7634
Te3 Te 0.5000 0.0000 0.5000
Se1 Se 0.0000 0.0000 0.0000
# - symmetry = No. 12
# - raw total energy (Ry/atom) = -2.41808
# - raw formation energy (meV/atom) = 58
# - Fermi-level density of states (states/eV/f.u.) = 2.22

# 13
# HfSn3Pb, single point on PBEsol structure, DFT SCAN
data_HfSn3Pb
_cell_length_a 5.4481
_cell_length_b 5.4481
_cell_length_c 5.4481
_cell_angle_alpha 90.00
_cell_angle_beta 90.00
_cell_angle_gamma 90.00
_space_group_name_H-M_alt 'P 1'
_space_group_IT_number 1
_space_group_name_Hall 'P 1'
loop_
_atom_site_label
_atom_site_type_symbol
_atom_site_fract_x
_atom_site_fract_y
_atom_site_fract_z
Sn1 Sn 0.0000 0.0000 0.5000
Sn2 Sn 0.0000 0.5000 0.0000
Sn3 Sn 0.5000 0.0000 0.0000
Hf1 Hf 0.0000 0.0000 0.0000
Pb1 Pb 0.5000 0.5000 0.5000
# - symmetry = No. 221
# - raw total energy (Ry/atom) = -3.59362
# - Fermi-level density of states (states/eV/f.u.) = 3.37